Entry 1:
Computed, not measured: an optimized crystal structure of MnAl2IrSe at the GGA-PBEsol level of DFT.

Cell and atoms, written as POSCAR:
```
MnAl2IrSe
1.0
4.661 0.000 0.000
0.000 4.661 0.000
0.000 0.000 4.904
Mn Ir Al Se
1 1 2 1
Direct
0.000 0.000 0.500
0.000 0.000 0.000
0.000 0.500 0.000
0.500 0.000 0.000
0.500 0.500 0.500
```

## Properties
SG: P4/mmm, No. 123
Energy relative to the elements, uncorrected (eV per atom): 0.211

=====

Entry 2:
Computed, not measured: an optimized crystal structure of AlMo2Ir at the GGA-PBEsol level of DFT.

Cell and atoms, written as POSCAR:
```
AlMo2Ir
1.0
-1.584 2.233 0.230
-3.418 -2.194 -2.246
-1.641 -1.581 4.043
Mo Ir Al
2 1 1
Direct
0.000 0.000 0.500
0.000 0.500 0.000
0.500 0.000 0.000
0.500 0.500 0.500
```

## Properties
DFT formation energy (eV per atom): 0.007
SG: P4/mmm, No. 123

=====

Please write out number 1 again, unchanged.
Computed, not measured: an optimized crystal structure of MnAl2IrSe at the GGA-PBEsol level of DFT.

Cell and atoms, written as POSCAR:
```
MnAl2IrSe
1.0
4.661 0.000 0.000
0.000 4.661 0.000
0.000 0.000 4.904
Mn Ir Al Se
1 1 2 1
Direct
0.000 0.000 0.500
0.000 0.000 0.000
0.000 0.500 0.000
0.500 0.000 0.000
0.500 0.500 0.500
```

## Properties
SG: P4/mmm, No. 123
Energy relative to the elements, uncorrected (eV per atom): 0.211